# Pr7NdSc4

Pr7NdSc4 after structural relaxation (PBE, Alexandria via LeMat-Bulk).

The structure belongs to space group P-1 (No. 2); the cell edges are 6.225, 7.192 and 8.815 Å and the angles 89.88°, 76.42° and 89.92°. The inequivalent atoms are Pr at (0.000, 0.000, 0.000), Pr at (0.226, 0.501, 0.337), Pr at (0.290, 0.242, 0.659), Pr at (0.499, 0.759, 0.988), Nd at (0.000, 0.500, 0.000), Sc at (0.211, 0.999, 0.342) and Sc at (0.270, 0.762, 0.663).

For the density of states at the Fermi level, the calculation gives 16.81 states/eV/f.u. The calculation puts the formation energy at 0.04 eV per atom. As for the crystal system: triclinic. The value obtained for the energy is -5.251 eV/atom.